Entry 1:
A plane-wave DFT calculation with PBE was carried out for crystalline Mo2H2Ir at its relaxed geometry.

Space group: No. 127
DFT total energy: -7.281 eV/atom
Crystal system: tetragonal

a b c (Å): 6.1520 6.1520 2.7613
angles (deg): 90.00 90.00 90.00
With the nearest neighbours (Å) after each atom.
Element x y z (fractional)
H  0.3746  0.8746  0.0000  4 Mo 2.15, 1 H 2.18
H  0.8746  0.6254  0.0000  4 Mo 2.15, 1 H 2.18
H  0.6254  0.1254  0.0000  4 Mo 2.15, 1 H 2.18
H  0.1254  0.3746  0.0000  4 Mo 2.15, 1 H 2.18
Mo  0.1428  0.6428  0.5000  4 H 2.15
Mo  0.6428  0.8572  0.5000  4 H 2.15
Mo  0.8572  0.3572  0.5000  4 H 2.15
Mo  0.3572  0.1428  0.5000  4 H 2.15
Ir  0.0000  0.0000  0.0000  4 H 2.43
Ir  0.5000  0.5000  0.0000  4 H 2.43

Entry 2:
A plane-wave DFT calculation with PBE was carried out for crystalline LaFeP2 at its relaxed geometry.

Space group: No. 119
ΔH_f (0 K): -11 kJ per mole of atoms
Crystal system: tetragonal

a b c (Å): 5.5296 5.5296 5.5296
angles (deg): 137.01 137.01 62.42
With the nearest neighbours (Å) after each atom.
Element x y z (fractional)
Fe  0.5000  0.5000  0.0000  8 P 2.87-3.11, 4 La 3.11
La  0.7500  0.2500  0.5000  8 P 2.87-3.11, 4 Fe 3.11
P  0.0000  0.0000  0.0000  4 Fe 2.87, 4 La 3.11, 4 P 3.11
P  0.2500  0.7500  0.5000  4 La 2.87, 4 Fe 3.11, 4 P 3.11

Entry 3:
A plane-wave DFT calculation with PBE was carried out for crystalline TiZnGe2 at its relaxed geometry.

Space group: No. 122
ΔH_f (0 K): 9 kJ per mole of atoms
Crystal system: tetragonal

a b c (Å): 7.0406 7.0406 5.7235
angles (deg): 52.04 52.04 90.00
With the nearest neighbours (Å) after each atom.
Element x y z (fractional)
Ge  0.6434  0.1250  0.2500  2 Zn 2.50, 2 Ti 2.68
Ge  0.1066  0.6250  0.2500  2 Zn 2.50, 2 Ti 2.68
Ge  0.3750  0.3566  0.7500  2 Zn 2.50, 2 Ti 2.68
Ge  0.8750  0.8934  0.7500  2 Zn 2.50, 2 Ti 2.68
Zn  0.0000  0.0000  0.0000  4 Ge 2.50
Zn  0.7500  0.2500  0.5000  4 Ge 2.50
Ti  0.5000  0.5000  0.0000  4 Ge 2.68, 2 Zn 2.82
Ti  0.2500  0.7500  0.5000  4 Ge 2.68, 2 Zn 2.82

Entry 4:
A plane-wave DFT calculation with PBE was carried out for crystalline Rb4Er3ZrSe8 at its relaxed geometry.

Space group: No. 166
Uncorrected formation energy: -1605 meV per atom
Crystal system: trigonal

a b c (Å): 8.3007 9.3239 8.3014
angles (deg): 116.46 120.00 90.00
With the nearest neighbours (Å) after each atom.
Element x y z (fractional)
Rb  0.5000  0.0000  0.0000  6 Se 3.47
Rb  0.5000  0.0000  0.5000  6 Se 3.41
Rb  0.0000  0.0000  0.0000  6 Se 3.41
Rb  0.0000  0.0000  0.5000  6 Se 3.41
Er  0.5000  0.5000  0.0000  6 Se 2.86-2.88
Er  0.5000  0.5000  0.5000  6 Se 2.86-2.88
Er  0.0000  0.5000  0.5000  6 Se 2.86-2.88
Zr  0.0000  0.5000  0.0000  6 Se 2.80
Se  0.2269  0.6934  0.9667  1 Zr 2.80, 2 Er 2.88
Se  0.2269  0.6934  0.4538  1 Zr 2.80, 2 Er 2.88
Se  0.2680  0.3042  0.5360  3 Er 2.86
Se  0.7398  0.6934  0.9667  1 Zr 2.80, 2 Er 2.88
Se  0.2602  0.3066  0.0333  1 Zr 2.80, 2 Er 2.88
Se  0.7320  0.6958  0.4640  3 Er 2.86
Se  0.7731  0.3066  0.5462  1 Zr 2.80, 2 Er 2.88
Se  0.7731  0.3066  0.0333  1 Zr 2.80, 2 Er 2.88

Entry 5:
A plane-wave DFT calculation with PBE was carried out for crystalline TaZnIr2 at its relaxed geometry.

Space group: No. 35
ΔH_f (0 K): 6 kJ per mole of atoms
Crystal system: orthorhombic

a b c (Å): 2.7684 2.7684 9.2436
angles (deg): 90.00 90.00 117.81
With the nearest neighbours (Å) after each atom.
Element x y z (fractional)
Ir  0.0000  0.0000  0.9929  2 Zn 2.59, 8 Ir 2.77-2.86
Ir  0.5000  0.5000  0.2505  2 Ta 2.69, 8 Ir 2.77-2.86
Ta  0.0000  0.0000  0.4972  2 Ir 2.69, 6 Ta 2.77-2.86, 2 Zn 2.81
Zn  0.5000  0.5000  0.7594  2 Ir 2.59, 6 Zn 2.77-2.86, 2 Ta 2.81

Entry 6:
A plane-wave DFT calculation with PBE was carried out for crystalline Ac4YTm3Bi8 at its relaxed geometry.

Space group: No. 166
ΔH_f (0 K): -86 kJ per mole of atoms
Crystal system: trigonal

a b c (Å): 9.3443 9.3171 9.3443
angles (deg): 120.10 120.00 90.00
With the nearest neighbours (Å) after each atom.
Element x y z (fractional)
Ac  0.5000  0.0000  0.0000  6 Bi 3.40
Ac  0.5000  0.0000  0.5000  6 Bi 3.42
Ac  0.0000  0.0000  0.0000  6 Bi 3.42
Ac  0.0000  0.0000  0.5000  6 Bi 3.42
Y  0.0000  0.5000  0.0000  6 Bi 3.20-3.21
Tm  0.5000  0.5000  0.0000  6 Bi 3.19
Tm  0.5000  0.5000  0.5000  6 Bi 3.19
Tm  0.0000  0.5000  0.5000  6 Bi 3.19
Bi  0.2425  0.7250  0.9825  2 Tm 3.19, 1 Y 3.20, 3 Ac 3.40-3.42
Bi  0.2425  0.7250  0.4850  2 Tm 3.19, 1 Y 3.21, 3 Ac 3.40-3.42
Bi  0.2588  0.2764  0.5176  3 Tm 3.19, 3 Ac 3.42
Bi  0.7400  0.7250  0.9825  2 Tm 3.19, 1 Y 3.20, 3 Ac 3.40-3.42
Bi  0.2600  0.2750  0.0175  2 Tm 3.19, 1 Y 3.20, 3 Ac 3.40-3.42
Bi  0.7412  0.7236  0.4824  3 Tm 3.19, 3 Ac 3.42
Bi  0.7575  0.2750  0.5150  2 Tm 3.19, 1 Y 3.21, 3 Ac 3.40-3.42
Bi  0.7575  0.2750  0.0175  2 Tm 3.19, 1 Y 3.20, 3 Ac 3.40-3.42

Entry 7:
A plane-wave DFT calculation with PBE was carried out for crystalline NaCdGaSn at its relaxed geometry.

Space group: No. 216
ΔH_f (0 K): -6 kJ per mole of atoms
Crystal system: cubic

a b c (Å): 5.1213 5.1213 5.1213
angles (deg): 60.00 60.00 60.00
With the nearest neighbours (Å) after each atom.
Element x y z (fractional)
Na  0.5000  0.5000  0.5000  4 Cd 3.14, 4 Ga 3.14
Sn  0.0000  0.0000  0.0000  4 Ga 3.14, 4 Cd 3.14
Ga  0.2500  0.2500  0.2500  4 Sn 3.14, 4 Na 3.14
Cd  0.7500  0.7500  0.7500  4 Na 3.14, 4 Sn 3.14

Entry 8:
A plane-wave DFT calculation with PBE was carried out for crystalline DyTl5 at its relaxed geometry.

Space group: No. 65
ΔH_f (0 K): -6 kJ per mole of atoms
Crystal system: orthorhombic

a b c (Å): 4.5687 4.9090 8.0332
angles (deg): 107.79 90.00 90.00
With the nearest neighbours (Å) after each atom.
Element x y z (fractional)
Tl  0.5000  0.8351  0.6702  10 Tl 3.35-3.58, 2 Dy 3.40
Tl  0.0000  0.6658  0.3315  10 Tl 3.35-3.56, 2 Dy 3.53
Tl  0.5000  0.5000  0.0000  4 Dy 3.35, 8 Tl 3.41-3.52
Tl  0.0000  0.3342  0.6685  10 Tl 3.35-3.56, 2 Dy 3.53
Tl  0.5000  0.1649  0.3298  10 Tl 3.35-3.58, 2 Dy 3.40
Dy  0.0000  0.0000  0.0000  12 Tl 3.35-3.53

Entry 9:
A plane-wave DFT calculation with PBE was carried out for crystalline Al2ZnOs at its relaxed geometry.

Space group: No. 123
ΔH_f (0 K): -19 kJ per mole of atoms
Crystal system: tetragonal

a b c (Å): 4.2300 3.1505 4.2299
angles (deg): 90.00 90.00 90.00
With the nearest neighbours (Å) after each atom.
Element x y z (fractional)
Zn  0.5000  0.6250  0.8747  8 Al 2.64
Os  0.0000  0.6250  0.3753  8 Al 2.64
Al  0.0000  0.1250  0.8752  4 Os 2.64, 4 Zn 2.64
Al  0.5000  0.1250  0.3748  4 Zn 2.64, 4 Os 2.64

Entry 10:
A plane-wave DFT calculation with PBE was carried out for crystalline Ce2PmHoBi4 at its relaxed geometry.

Space group: No. 10
ΔH_f (0 K): -81 kJ per mole of atoms
Crystal system: monoclinic

a b c (Å): 4.5629 7.8942 7.9028
angles (deg): 70.54 90.00 90.00
With the nearest neighbours (Å) after each atom.
Element x y z (fractional)
Ce  0.0000  0.0000  0.0000  6 Bi 3.26
Ce  0.5000  0.0000  0.5000  6 Bi 3.22
Pm  0.5000  0.5000  0.0000  6 Bi 3.23
Ho  0.0000  0.5000  0.5000  6 Bi 3.19
Bi  0.0000  0.7476  0.7471  1 Ho 3.19, 3 Ce 3.22-3.26, 2 Pm 3.23
Bi  0.0000  0.2524  0.2529  1 Ho 3.19, 3 Ce 3.22-3.26, 2 Pm 3.23
Bi  0.5000  0.7448  0.2557  2 Ho 3.19, 3 Ce 3.22-3.26, 1 Pm 3.23
Bi  0.5000  0.2552  0.7443  2 Ho 3.19, 3 Ce 3.22-3.26, 1 Pm 3.23

Entry 11:
A plane-wave DFT calculation with PBE was carried out for crystalline Hf2BeSi at its relaxed geometry.

Space group: No. 225
Uncorrected formation energy: -143 meV per atom
Crystal system: cubic

a b c (Å): 4.5337 4.5337 4.5337
angles (deg): 60.00 60.00 60.00
With the nearest neighbours (Å) after each atom.
Element x y z (fractional)
Be  0.0000  0.0000  0.0000  8 Hf 2.78
Si  0.5000  0.5000  0.5000  8 Hf 2.78
Hf  0.2500  0.2500  0.2500  4 Be 2.78, 4 Si 2.78
Hf  0.7500  0.7500  0.7500  4 Be 2.78, 4 Si 2.78

Entry 12:
A plane-wave DFT calculation with PBE was carried out for crystalline ReBi2W at its relaxed geometry.

Space group: No. 225
ΔH_f (0 K): 115 kJ per mole of atoms
Crystal system: cubic

a b c (Å): 4.8349 4.8349 4.8349
angles (deg): 60.00 60.00 60.00
With the nearest neighbours (Å) after each atom.
Element x y z (fractional)
Re  0.5000  0.5000  0.5000  8 Bi 2.96
Bi  0.2500  0.2500  0.2500  4 W 2.96, 4 Re 2.96
Bi  0.7500  0.7500  0.7500  4 W 2.96, 4 Re 2.96
W  0.0000  0.0000  0.0000  8 Bi 2.96

Magnetization in μB per formula unit, matching the order above: 0.0 3.1 0.0 0.7 0.0 0.0 0.0 0.0 0.0 0.0 0.0 0.0
Fermi-level density of states in states/eV/cell, matching the order above: 4.0 4.7 1.7 4.3 3.4 3.2 1.1 3.4 1.3 14.7 4.1 4.2